{
  "formula": "MnBePIrF",
  "functional": "PBE+U",
  "state": "optimized geometry",
  "spacegroup": "Cm, No. 8",
  "e_tot_ev_per_atom": -6.13,
  "polymorph_energy_mev_per_atom": 261,
  "lattice_angstrom": [[-1.286, -4.757, -2.516], [1.059, -1.400, 2.105], [-8.462, 2.069, 5.634]],
  "species": ["P", "P", "Ir", "Ir", "Be", "Be", "Mn", "Mn", "F", "F"],
  "fractional_positions": [[0.361, 0.000, 0.629], [0.361, 0.500, 0.129], [0.648, 0.000, 0.052], [0.648, 0.500, 0.552], [0.983, 0.000, 0.478], [0.983, 0.500, 0.978], [0.470, 0.000, 0.336], [0.470, 0.500, 0.836], [0.031, 0.000, 0.891], [0.031, 0.500, 0.391]]
}